A plane-wave DFT calculation with PBE was carried out for a relaxed structure of GeTeS2.

Cell and atoms, written as POSCAR:
```
GeTeS2
1.0
7.221 0.000 0.000
0.000 7.221 0.000
0.000 0.000 7.020
Ge Te S
4 4 8
Direct
0.000 0.000 0.000
0.000 0.500 0.250
0.500 0.000 0.750
0.500 0.500 0.500
0.000 0.000 0.500
0.000 0.500 0.750
0.500 0.000 0.250
0.500 0.500 0.000
0.235 0.250 0.125
0.250 0.735 0.375
0.250 0.765 0.875
0.265 0.250 0.625
0.735 0.750 0.625
0.750 0.235 0.875
0.750 0.265 0.375
0.765 0.750 0.125
```

SG = I-42d
Formation energy (no corrections) = 0.21 eV/atom
Energy = -3.7896 eV/atom
Energy above the lowest structure with this stoichiometry = 290.8 meV/atom